Entry a
The following is a DFT calculation (GGA-PBE) of crystalline Al3HS at its relaxed geometry.

calculated density: 2.571 g/cm3
magnetic moment: 0.00 μB/f.u.
space-group type: Pm-3m, No. 221

abc: 4.1914 4.1914 4.1914
angles: 90.00 90.00 90.00
Positions (direct):
Al: 0.0000 0.0000 0.5000
Al: 0.0000 0.5000 0.0000
Al: 0.5000 0.0000 0.0000
H: 0.0000 0.0000 0.0000
S: 0.5000 0.5000 0.5000

Entry b
The following is a DFT calculation (GGA-PBE) of crystalline Al3HS at its relaxed geometry.

calculated density: 1.640 g/cm3
magnetic moment: 0.00 μB/f.u.
space-group type: Pm-3m, No. 221

abc: 4.8690 4.8690 4.8690
angles: 90.00 90.00 90.00
Positions (direct):
Al: 0.0000 0.0000 0.5000
Al: 0.0000 0.5000 0.0000
Al: 0.5000 0.0000 0.0000
H: 0.5000 0.5000 0.5000
S: 0.0000 0.0000 0.0000

Which structure is the least stable? The one labeled entry b.

Entry a
The following is a DFT calculation (GGA-PBE) of crystalline AlSbH3 at its relaxed geometry.

calculated density: 4.745 g/cm3
magnetic moment: 0.00 μB/f.u.
space-group type: Pm-3m, No. 221

abc: 3.7589 3.7589 3.7589
angles: 90.00 90.00 90.00
Positions (direct):
Al: 0.0000 0.0000 0.0000
Sb: 0.5000 0.5000 0.5000
H: 0.0000 0.0000 0.5000
H: 0.0000 0.5000 0.0000
H: 0.5000 0.0000 0.0000

Entry b
The following is a DFT calculation (GGA-PBE) of crystalline AlSbH3 at its relaxed geometry.

calculated density: 3.701 g/cm3
magnetic moment: 0.00 μB/f.u.
space-group type: Pm-3m, No. 221

abc: 4.0837 4.0837 4.0837
angles: 90.00 90.00 90.00
Positions (direct):
Al: 0.0000 0.0000 0.0000
Sb: 0.5000 0.5000 0.5000
H: 0.0000 0.5000 0.5000
H: 0.5000 0.0000 0.5000
H: 0.5000 0.5000 0.0000

Which structure is the least stable? The one labeled entry b.

Entry a
The following is a DFT calculation (GGA-PBE) of crystalline AlSb3H at its relaxed geometry.

calculated density: 6.175 g/cm3
magnetic moment: 0.00 μB/f.u.
space-group type: Pm-3m, No. 221

abc: 4.7291 4.7291 4.7291
angles: 90.00 90.00 90.00
Positions (direct):
Al: 0.0000 0.0000 0.0000
Sb: 0.0000 0.5000 0.5000
Sb: 0.5000 0.0000 0.5000
Sb: 0.5000 0.5000 0.0000
H: 0.5000 0.5000 0.5000

Entry b
The following is a DFT calculation (GGA-PBE) of crystalline AlSb3H at its relaxed geometry.

calculated density: 4.365 g/cm3
magnetic moment: 0.98 μB/f.u.
space-group type: Pm-3m, No. 221

abc: 5.3087 5.3087 5.3087
angles: 90.00 90.00 90.00
Positions (direct):
Al: 0.0000 0.0000 0.0000
Sb: 0.0000 0.0000 0.5000
Sb: 0.0000 0.5000 0.0000
Sb: 0.5000 0.0000 0.0000
H: 0.5000 0.5000 0.5000

Which structure is the least stable? The one labeled entry b.

Entry a
The following is a DFT calculation (GGA-PBE) of crystalline ScAlH at its relaxed geometry.

calculated density: 2.837 g/cm3
magnetic moment: 0.00 μB/f.u.
space-group type: P1, No. 1

abc: 5.3811 5.8456 10.9726
angles: 82.41 86.81 88.98
Positions (direct):
Sc: 0.0000 0.0000 0.0000
Sc: 0.0108 0.4777 0.0915
Sc: 0.0840 0.6693 0.5893
Sc: 0.2485 0.0304 0.2623
Sc: 0.2822 0.5129 0.3413
Sc: 0.3074 0.1845 0.7448
Sc: 0.3252 0.6640 0.8398
Sc: 0.5566 0.9402 0.5076
Al: 0.0398 0.1732 0.5160
Al: 0.5030 0.7538 0.0832
Al: 0.5060 0.2690 0.0139
Al: 0.6242 0.4254 0.5357
Al: 0.7601 0.2599 0.3162
Al: 0.7720 0.7487 0.2827
Al: 0.8112 0.9711 0.7410
Al: 0.8276 0.4053 0.8226
H: 0.0119 0.6937 0.9406
H: 0.2649 0.8049 0.4273
H: 0.2943 0.3579 0.1916
H: 0.3067 0.9703 0.8963
H: 0.3306 0.8719 0.6681
H: 0.3535 0.5099 0.6884
H: 0.7250 0.6679 0.5966
H: 0.9676 0.1441 0.1571

Entry b
The following is a DFT calculation (GGA-PBE) of crystalline ScAlH at its relaxed geometry.

calculated density: 2.726 g/cm3
magnetic moment: 0.39 μB/f.u.
space-group type: I4mm, No. 107

abc: 5.6771 5.6771 5.6771
angles: 150.44 150.44 42.30
Positions (direct):
Sc: 0.0000 0.0000 0.0000
Al: 0.2838 0.2838 0.0000
H: 0.5396 0.5396 0.0000

Which structure is the least stable? The one labeled entry b.